Record 1
# H3SeF (GGA-PBEsol, optimized geometry)
# DOS(E_F) = 2.48 states/eV/f.u.
# electronic total energy = -2.459 eV per atom
# magnetic moment = 0.003 μB per atom
data_H3SeF
_chemical_formula_sum 'H3 Se1 F1'
_cell_length_a 3.4054
_cell_length_b 3.4054
_cell_length_c 3.4054
_cell_angle_alpha 90.00
_cell_angle_beta 90.00
_cell_angle_gamma 90.00
_space_group_name_H-M_alt 'P m -3 m'
_space_group_IT_number 221
_space_group_name_Hall '-P 4 2 3'
loop_
_atom_site_label
_atom_site_type_symbol
_atom_site_fract_x
_atom_site_fract_y
_atom_site_fract_z
H1 H 0.0000 0.0000 0.5000
Se1 Se 0.5000 0.5000 0.5000
F1 F 0.0000 0.0000 0.0000

Record 2
# SiH3F (GGA-PBEsol, optimized geometry)
# DOS(E_F) = 0.00 states/eV/f.u.
# electronic total energy = -4.235 eV per atom
# magnetic moment = 0.000 μB per atom
data_SiH3F
_chemical_formula_sum 'Si4 H12 F4'
_cell_length_a 4.5050
_cell_length_b 8.0124
_cell_length_c 8.1105
_cell_angle_alpha 90.00
_cell_angle_beta 122.36
_cell_angle_gamma 90.00
_space_group_name_H-M_alt 'P 1 21/c 1'
_space_group_IT_number 14
_space_group_name_Hall '-P 2ybc'
loop_
_atom_site_label
_atom_site_type_symbol
_atom_site_fract_x
_atom_site_fract_y
_atom_site_fract_z
Si1 Si 0.0673 0.2221 0.1408
H1 H 0.1231 0.0943 0.6497
H2 H 0.2749 0.6710 0.3883
H3 H 0.3709 0.1308 0.3049
F1 F 0.0495 0.1626 0.9414

Record 3
# SnHF2 (GGA-PBEsol, optimized geometry)
# DOS(E_F) = 0.00 states/eV/f.u.
# electronic total energy = -3.918 eV per atom
# magnetic moment = 0.248 μB per atom
data_SnHF2
_chemical_formula_sum 'Sn4 H4 F8'
_cell_length_a 5.8369
_cell_length_b 5.8369
_cell_length_c 5.8369
_cell_angle_alpha 90.00
_cell_angle_beta 90.00
_cell_angle_gamma 90.00
_space_group_name_H-M_alt 'F m -3 m'
_space_group_IT_number 225
_space_group_name_Hall '-F 4 2 3'
loop_
_atom_site_label
_atom_site_type_symbol
_atom_site_fract_x
_atom_site_fract_y
_atom_site_fract_z
Sn1 Sn 0.0000 0.0000 0.0000
H1 H 0.0000 0.0000 0.5000
F1 F 0.2500 0.2500 0.2500

Record 4
# SrH3F (GGA-PBEsol, optimized geometry)
# DOS(E_F) = 1.58 states/eV/f.u.
# electronic total energy = -2.676 eV per atom
# magnetic moment = 0.359 μB per atom
data_SrH3F
_chemical_formula_sum 'Sr1 H3 F1'
_cell_length_a 3.8441
_cell_length_b 3.8441
_cell_length_c 3.8441
_cell_angle_alpha 90.00
_cell_angle_beta 90.00
_cell_angle_gamma 90.00
_space_group_name_H-M_alt 'P m -3 m'
_space_group_IT_number 221
_space_group_name_Hall '-P 4 2 3'
loop_
_atom_site_label
_atom_site_type_symbol
_atom_site_fract_x
_atom_site_fract_y
_atom_site_fract_z
Sr1 Sr 0.0000 0.0000 0.0000
H1 H 0.0000 0.5000 0.5000
F1 F 0.5000 0.5000 0.5000

Record 5
# Sr2ZnHF (GGA-PBEsol, optimized geometry)
# DOS(E_F) = 2.70 states/eV/f.u.
# electronic total energy = -2.358 eV per atom
# magnetic moment = 0.000 μB per atom
data_Sr2ZnHF
_chemical_formula_sum 'Sr2 Zn1 H1 F1'
_cell_length_a 5.9163
_cell_length_b 5.9163
_cell_length_c 4.3453
_cell_angle_alpha 90.00
_cell_angle_beta 90.00
_cell_angle_gamma 90.00
_space_group_name_H-M_alt 'P 4/m m m'
_space_group_IT_number 123
_space_group_name_Hall '-P 4 2'
loop_
_atom_site_label
_atom_site_type_symbol
_atom_site_fract_x
_atom_site_fract_y
_atom_site_fract_z
Sr1 Sr 0.0000 0.5000 0.0000
Zn1 Zn 0.0000 0.0000 0.0000
H1 H 0.5000 0.5000 0.5000
F1 F 0.0000 0.0000 0.5000

Record 6
# TaH3F (GGA-PBEsol, optimized geometry)
# DOS(E_F) = 1.30 states/eV/f.u.
# electronic total energy = -4.812 eV per atom
# magnetic moment = 0.000 μB per atom
data_TaH3F
_chemical_formula_sum 'Ta1 H3 F1'
_cell_length_a 3.5589
_cell_length_b 3.5589
_cell_length_c 3.5589
_cell_angle_alpha 90.00
_cell_angle_beta 90.00
_cell_angle_gamma 90.00
_space_group_name_H-M_alt 'P m -3 m'
_space_group_IT_number 221
_space_group_name_Hall '-P 4 2 3'
loop_
_atom_site_label
_atom_site_type_symbol
_atom_site_fract_x
_atom_site_fract_y
_atom_site_fract_z
Ta1 Ta 0.0000 0.0000 0.0000
H1 H 0.0000 0.0000 0.5000
F1 F 0.5000 0.5000 0.5000